Compound: Np2UNbN4
Source: the Alexandria database
Functional: PBE-GGA
Structure: optimized geometry

The structure in POSCAR format:
```
Np2UNbN4
1.0
-0.3226 -2.2382 2.5159
5.7073 0.1761 0.8885
-2.5758 4.0414 3.2651
N Np U Nb
4 2 1 1
Direct
0.0000 0.2426 0.7635 N
0.5000 0.2351 0.2316 N
0.5000 0.7649 0.7684 N
0.0000 0.7574 0.2365 N
0.0000 0.5000 0.5000 Np
0.5000 0.0000 0.5000 Np
0.5000 0.5000 0.0000 U
0.0000 0.0000 0.0000 Nb
```

Values from the calculation:
The value obtained for the calculated volume is 13.37 Å³ per atom. The calculation puts the uncorrected formation energy at -1.2042 eV/atom. The space-group type is P2/m (10). As for the density of states at the Fermi level: 11.20 states/eV/f.u.